DFT (SCAN) results for a crystal of Sr3IO relaxed with PBEsol.

Results
Raw formation energy (eV/atom): -1.23
M_tot (μB/cell): 2.24

```
data_Sr3IO
_chemical_formula_sum 'Sr3 I1 O1'
_symmetry_space_group_name_H-M 'P m -3 m'
_symmetry_Int_Tables_number 221
_symmetry_space_group_name_Hall '-P 4 2 3'
_cell_length_a 5.262
_cell_length_b 5.262
_cell_length_c 5.262
_cell_angle_alpha 90.00
_cell_angle_beta 90.00
_cell_angle_gamma 90.00
loop_
_atom_site_label
_atom_site_type_symbol
_atom_site_fract_x
_atom_site_fract_y
_atom_site_fract_z
Sr1 Sr 0.000 0.000 0.500
I1 I 0.500 0.500 0.500
O1 O 0.000 0.000 0.000
```

=====

DFT (SCAN) results for a crystal of SrI2O6 relaxed with PBEsol.

Results
Raw formation energy (eV/atom): -1.18
M_tot (μB/cell): 0.00
Energy above the most stable polymorph in this dataset (eV/atom): 0.000

```
data_SrI2O6
_chemical_formula_sum 'Sr4 I8 O24'
_symmetry_space_group_name_H-M 'C 1 2/c 1'
_symmetry_Int_Tables_number 15
_cell_length_a 11.874
_cell_length_b 7.943
_cell_length_c 7.752
_cell_angle_alpha 90.00
_cell_angle_beta 126.81
_cell_angle_gamma 90.00
loop_
_symmetry_equiv_pos_as_xyz
'x,y,z'
'-x,-y,-z'
'-x,y,-z+1/2'
'x,-y,z+1/2'
'x+1/2,y+1/2,z'
'-x+1/2,-y+1/2,-z'
'-x+1/2,y+1/2,-z+1/2'
'x+1/2,-y+1/2,z+1/2'
loop_
_atom_site_label
_atom_site_type_symbol
_atom_site_fract_x
_atom_site_fract_y
_atom_site_fract_z
Sr1 Sr 0.000 0.145 0.250
I1 I 0.181 0.471 0.704
O1 O 0.080 0.338 0.064
O2 O 0.140 0.053 0.649
O3 O 0.179 0.391 0.477
```

=====

DFT (SCAN) results for a crystal of SrTcI2O relaxed with PBEsol.

Results
Raw formation energy (eV/atom): -0.02
M_tot (μB/cell): 4.72

```
data_SrTcI2O
_chemical_formula_sum 'Sr1 Tc1 I2 O1'
_symmetry_space_group_name_H-M 'P 4/m m m'
_symmetry_Int_Tables_number 123
_symmetry_space_group_name_Hall '-P 4 2'
_cell_length_a 6.195
_cell_length_b 6.195
_cell_length_c 4.187
_cell_angle_alpha 90.00
_cell_angle_beta 90.00
_cell_angle_gamma 90.00
loop_
_atom_site_label
_atom_site_type_symbol
_atom_site_fract_x
_atom_site_fract_y
_atom_site_fract_z
Sr1 Sr 0.000 0.000 0.000
Tc1 Tc 0.500 0.500 0.500
I1 I 0.000 0.500 0.000
O1 O 0.000 0.000 0.500
```

=====

DFT (SCAN) results for a crystal of Sr2TlIO relaxed with PBEsol.

Results
Raw formation energy (eV/atom): 0.09
M_tot (μB/cell): 0.81

```
data_Sr2TlIO
_chemical_formula_sum 'Sr2 Tl1 I1 O1'
_symmetry_space_group_name_H-M 'P 4/m m m'
_symmetry_Int_Tables_number 123
_symmetry_space_group_name_Hall '-P 4 2'
_cell_length_a 6.247
_cell_length_b 6.247
_cell_length_c 5.936
_cell_angle_alpha 90.00
_cell_angle_beta 90.00
_cell_angle_gamma 90.00
loop_
_atom_site_label
_atom_site_type_symbol
_atom_site_fract_x
_atom_site_fract_y
_atom_site_fract_z
Sr1 Sr 0.000 0.500 0.000
Tl1 Tl 0.000 0.000 0.000
I1 I 0.000 0.000 0.500
O1 O 0.500 0.500 0.500
```